Entry from Alexandria via LeMat-Bulk: crystalline MnReO6 at its relaxed geometry (GGA+U).

a = 5.2945 Å, b = 5.2945 Å, c = 5.2945 Å
α = 60.00°, β = 60.00°, γ = 60.00°
Atoms (fractional coordinates):
Mn 0.0000 0.0000 0.0000
Re 0.5000 0.5000 0.5000
O 0.2504 0.2504 0.7496
O 0.2504 0.7496 0.2504
O 0.2504 0.7496 0.7496
O 0.7496 0.2504 0.2504
O 0.7496 0.2504 0.7496
O 0.7496 0.7496 0.2504

- Total energy: -58.36 eV for the cell shown
- ρ: 5.335 g/cm³
- Spin magnetization: 4.01 Bohr magnetons per cell
- DOS(E_F): 0.361 states/eV per atom